(1)
DFT (PBE) results for Sr2YPb2 after structural relaxation.

Summary:
energy above the lowest structure with this stoichiometry: 0.0000 eV per atom
calculated formation energy: -0.3735 eV/atom
calculated volume: 352.92 Å³/cell

a = 9.406 Å, b = 9.406 Å, c = 3.989 Å
α = 90.00°, β = 90.00°, γ = 90.00°
Fractional coordinates of all 10 atoms:
Pb: 0.329 0.829 0.000
Pb: 0.829 0.671 0.000
Pb: 0.671 0.171 0.000
Pb: 0.171 0.329 0.000
Y: 0.000 0.000 0.000
Y: 0.500 0.500 0.000
Sr: 0.134 0.634 0.500
Sr: 0.634 0.866 0.500
Sr: 0.866 0.366 0.500
Sr: 0.366 0.134 0.500

---

(2)
DFT (PBE) results for SrYPb2 after structural relaxation.

Summary:
calculated formation energy: -0.4210 eV/atom
calculated volume: 126.62 Å³/cell

a = 5.811 Å, b = 3.748 Å, c = 5.813 Å
α = 89.98°, β = 90.00°, γ = 90.00°
Fractional coordinates of all 4 atoms:
Pb: 0.000 0.119 0.875
Pb: 0.500 0.119 0.375
Sr: 0.000 0.604 0.375
Y: 0.500 0.659 0.875

---

(3)
DFT (PBE) results for Sr2Y2Pb after structural relaxation.

Summary:
energy above the lowest structure with this stoichiometry: 0.0000 eV per atom
calculated formation energy: -0.0236 eV/atom
calculated volume: 395.21 Å³/cell

a = 8.230 Å, b = 8.230 Å, c = 5.834 Å
α = 90.00°, β = 90.00°, γ = 90.00°
Site moments in Bohr magnetons follow the coordinates.
Fractional coordinates of all 10 atoms:
Pb: 0.000 0.000 0.000  0.00
Pb: 0.500 0.500 0.000  0.00
Y: 0.350 0.850 0.000  0.08
Y: 0.850 0.650 0.000  0.08
Y: 0.650 0.150 0.000  0.08
Y: 0.150 0.350 0.000  0.08
Sr: 0.164 0.664 0.500  0.01
Sr: 0.664 0.836 0.500  0.01
Sr: 0.836 0.336 0.500  0.01
Sr: 0.336 0.164 0.500  0.01

---

(4)
DFT (PBE) results for Sr3YPb12 after structural relaxation.

Summary:
calculated formation energy: -0.3352 eV/atom
calculated volume: 498.63 Å³/cell

a = 4.987 Å, b = 4.987 Å, c = 20.046 Å
α = 90.00°, β = 90.00°, γ = 90.00°
Fractional coordinates of all 16 atoms:
Sr: 0.000 0.000 0.246
Sr: 0.000 0.000 0.500
Sr: 0.000 0.000 0.754
Y: 0.000 0.000 0.000
Pb: 0.500 0.500 0.000
Pb: 0.500 0.500 0.248
Pb: 0.500 0.500 0.500
Pb: 0.500 0.500 0.752
Pb: 0.500 0.000 0.120
Pb: 0.500 0.000 0.374
Pb: 0.500 0.000 0.626
Pb: 0.500 0.000 0.880
Pb: 0.000 0.500 0.120
Pb: 0.000 0.500 0.374
Pb: 0.000 0.500 0.626
Pb: 0.000 0.500 0.880

---

(5)
DFT (PBE) results for Sr2YPb2 after structural relaxation.

Summary:
energy above the lowest structure with this stoichiometry: 0.5099 eV per atom
calculated formation energy: 0.1363 eV/atom
calculated volume: 204.30 Å³/cell

a = 4.578 Å, b = 4.578 Å, c = 10.273 Å
α = 77.13°, β = 77.13°, γ = 90.00°
Fractional coordinates of all 5 atoms:
Pb: 0.750 0.250 0.500
Pb: 0.250 0.750 0.500
Y: 0.000 0.000 0.000
Sr: 0.390 0.390 0.220
Sr: 0.610 0.610 0.780

---

(6)
DFT (PBE) results for Sr5YPb6 after structural relaxation.

Summary:
calculated formation energy: -0.5193 eV/atom
calculated volume: 404.20 Å³/cell

a = 6.032 Å, b = 7.590 Å, c = 9.699 Å
α = 66.97°, β = 82.23°, γ = 90.00°
Fractional coordinates of all 12 atoms:
Y: 0.000 0.000 0.000
Sr: 0.705 0.180 0.639
Sr: 0.321 0.335 0.331
Sr: 0.000 0.500 0.000
Sr: 0.679 0.665 0.669
Sr: 0.295 0.820 0.361
Pb: 0.810 0.617 0.310
Pb: 0.810 0.074 0.310
Pb: 0.500 0.779 0.000
Pb: 0.500 0.221 0.000
Pb: 0.190 0.926 0.690
Pb: 0.190 0.383 0.690

---

(7)
DFT (PBE) results for SrY4Pb after structural relaxation.

Summary:
calculated formation energy: 0.1779 eV/atom
calculated volume: 211.14 Å³/cell

a = 6.684 Å, b = 6.684 Å, c = 6.684 Å
α = 60.00°, β = 60.00°, γ = 60.00°
Fractional coordinates of all 6 atoms:
Sr: 0.000 0.000 0.000
Y: 0.874 0.375 0.375
Y: 0.375 0.375 0.874
Y: 0.375 0.874 0.375
Y: 0.375 0.375 0.375
Pb: 0.750 0.750 0.750

---

(8)
DFT (PBE) results for SrYPb2 after structural relaxation.

Summary:
calculated formation energy: -0.3839 eV/atom
calculated volume: 133.23 Å³/cell

a = 10.029 Å, b = 10.029 Å, c = 10.029 Å
α = 22.83°, β = 22.83°, γ = 22.83°
Fractional coordinates of all 4 atoms:
Pb: 0.004 0.004 0.004
Pb: 0.496 0.496 0.496
Sr: 0.250 0.250 0.250
Y: 0.750 0.750 0.750